# VOsN2O PBE+U relaxed
# E_tot = -7.602 eV per atom
data_VOsN2O
_chemical_formula_sum 'V1 Os1 N2 O1'
_space_group_name_H-M_alt 'P 1'
_space_group_IT_number 1
_cell_length_a 3.8253
_cell_length_b 3.8253
_cell_length_c 4.0016
_cell_angle_alpha 90.00
_cell_angle_beta 90.00
_cell_angle_gamma 90.00
loop_
_space_group_symop_operation_xyz
'x,y,z'
loop_
_atom_site_label
_atom_site_type_symbol
_atom_site_fract_x
_atom_site_fract_y
_atom_site_fract_z
N1 N 0.0000 0.5000 0.0000
N2 N 0.5000 0.0000 0.0000
Os1 Os 0.0000 0.0000 0.0000
O1 O 0.0000 0.0000 0.5000
V1 V 0.5000 0.5000 0.5000